1.
Below is Tm4ScRh3 after structural relaxation, with properties calculated at the GGA-PBE level.

Properties
Calculated total energy in eV for the cell shown: -209.75

abc: 10.800 10.800 5.910
angles: 90.00 90.00 90.00
Space group I4/mcm (No. 140)
One atom of each set of equivalent atoms:
Tm 0.080 0.213 0.000
Sc 0.000 0.500 0.250
Rh 0.000 0.000 0.250
Rh 0.152 0.348 0.500

2.
Below is Tm3ScRh2 after structural relaxation, with properties calculated at the GGA-PBE level.

Properties
Relative energy among the computed polymorphs in kJ/mol of formula units: 11

abc: 6.507 13.184 6.960
angles: 90.00 90.00 90.00
Space group Ibam (No. 72)
One atom of each set of equivalent atoms:
Tm 0.000 0.000 0.250
Tm 0.000 0.272 0.250
Sc 0.000 0.500 0.000
Rh 0.215 0.136 0.000

3.
Below is Tm4ScRh after structural relaxation, with properties calculated at the GGA-PBE level.

Properties
Calculated total energy in eV for the cell shown: -132.70

abc: 8.846 12.795 5.917
angles: 90.00 107.80 90.00
Space group C2/c (No. 15)
One atom of each set of equivalent atoms:
Tm 0.108 0.171 0.053
Tm 0.217 0.410 0.363
Sc 0.000 0.382 0.750
Rh 0.000 0.002 0.250

4.
Below is Tm4ScRh2 after structural relaxation, with properties calculated at the GGA-PBE level.

Properties
Calculated total energy in eV for the cell shown: -84.79

abc: 7.590 6.209 7.729
angles: 90.00 112.58 90.00
Space group P2_1/m (No. 11)
One atom of each set of equivalent atoms:
Tm 0.021 0.250 0.383
Tm 0.235 0.750 0.328
Tm 0.413 0.003 0.766
Sc 0.163 0.250 0.037
Rh 0.244 0.750 0.984
Rh 0.381 0.250 0.412

Calculated size of the total moment (Bohr magnetons per cell), listed in the same order as above: 0.00 0.00 0.00 0.00
Calculated mass density (Mg/m³), listed in the same order as above: 9.92 8.43 8.58 9.15